First-principles (GGA-PBE) data for an optimized crystal structure of La5DyEr3, as listed in the Alexandria database.

As for the total magnetization: 0.0 μB/f.u. The total energy is -4.523 eV per atom.

Geometry as POSCAR:
```
La5DyEr3
1.0
9.5271 -3.2760 0.0000
9.5271 3.2760 0.0000
-5.1604 0.0000 10.3471
La Dy Er
10 2 6
Direct
0.0291 0.6431 0.2892
0.0999 0.9001 0.7500
0.1488 0.5017 0.6406
0.3569 0.9709 0.2108
0.4983 0.8512 0.8594
0.5017 0.1488 0.1406
0.6431 0.0291 0.7892
0.8512 0.4983 0.3594
0.9001 0.0999 0.2500
0.9709 0.3569 0.7108
0.3731 0.6269 0.2500
0.6269 0.3731 0.7500
0.0565 0.6236 0.9860
0.3764 0.9435 0.5140
0.5000 0.5000 0.0000
0.5000 0.5000 0.5000
0.6236 0.0565 0.4860
0.9435 0.3764 0.0140
```